Material: BeCl3
Method: DFT, GGA-PBE
State: optimized geometry

## Properties
Calculated volume (Å³/cell): 91
ΔE to the lowest computed polymorph (meV/atom): 361
Symmetry: No. 187
Total magnetization (Bohr magnetons per cell): 0.0

Cell: 3.1288 3.1288 10.7349 Å, 90.00 90.00 120.00°
With the nearest neighbours (Å) after each atom.
Positions (direct):
Be1 0.0000 0.0000 0.0000  6 Cl 2.29
Cl1 0.0000 0.0000 0.5000  6 Cl 3.13
Cl2 0.6667 0.3333 0.1318  3 Be 2.29
Cl3 0.6667 0.3333 0.8682  3 Be 2.29